(1)
VASP calculation (GGA-PBE) on BaSrI4 after structural relaxation.

a b c (Å): 9.2487 9.2487 8.5129
angles (deg): 68.86 68.86 107.93
Element x y z (fractional)
I1 0.3723 0.2547 0.2407
I2 0.3051 0.9446 0.9369
I3 0.6949 0.0554 0.0631
I4 0.0554 0.6949 0.5631
I5 0.9446 0.3051 0.4369
I6 0.7453 0.6277 0.2593
I7 0.2547 0.3723 0.7407
I8 0.6277 0.7453 0.7593
Ba1 0.9804 0.0196 0.2500
Ba2 0.0196 0.9804 0.7500
Sr1 0.3691 0.6309 0.2500
Sr2 0.6309 0.3691 0.7500

---

(2)
VASP calculation (GGA-PBE) on BaMn after structural relaxation.

The calculated formation energy is 1.5204 eV/atom.

a b c (Å): 9.1784 9.1784 9.1784
angles (deg): 90.00 90.00 90.00
Last column: magnetic moment on the atom in μB.
Element x y z (fractional)
Mn1 0.5000 0.7500 0.0000  3.86
Mn2 0.7500 0.0000 0.5000  3.86
Mn3 0.0000 0.5000 0.7500  3.86
Mn4 0.5000 0.2500 0.0000  3.86
Mn5 0.0000 0.5000 0.2500  3.86
Mn6 0.2500 0.0000 0.5000  3.86
Ba1 0.7500 0.5000 0.0000  -0.17
Ba2 0.5000 0.0000 0.2500  -0.17
Ba3 0.0000 0.2500 0.5000  -0.17
Ba4 0.0000 0.7500 0.5000  -0.17
Ba5 0.5000 0.0000 0.7500  -0.17
Ba6 0.2500 0.5000 0.0000  -0.17

---

(3)
VASP calculation (GGA-PBE) on BaNiP2 after structural relaxation.

The calculated formation energy is -0.6396 eV/atom.

a b c (Å): 5.8838 5.8838 4.4782
angles (deg): 73.75 73.75 37.38
Element x y z (fractional)
Ni1 0.3132 0.3132 0.0274
P1 0.8598 0.8598 0.2472
P2 0.7759 0.7759 0.7798
Ba1 0.5511 0.5511 0.4456

---

(4)
VASP calculation (GGA-PBE) on Y2PRh after structural relaxation.

The calculated formation energy is -0.2795 eV/atom.

a b c (Å): 4.7895 4.7895 4.7895
angles (deg): 60.00 60.00 60.00
Element x y z (fractional)
Y1 0.0000 0.0000 0.0000
Y2 0.2500 0.2500 0.2500
P1 0.5000 0.5000 0.5000
Rh1 0.7500 0.7500 0.7500

---

(5)
VASP calculation (GGA-PBE) on CoCu2Sn6 after structural relaxation.

The calculated formation energy is 0.0531 eV/atom.

a b c (Å): 6.5741 6.6141 8.9776
angles (deg): 90.00 90.85 90.00
Element x y z (fractional)
Sn1 0.8494 0.0228 0.2285
Sn2 0.6698 0.1826 0.8977
Sn3 0.1506 0.9772 0.7715
Sn4 0.1448 0.3228 0.0333
Sn5 0.8302 0.6826 0.6023
Sn6 0.6506 0.5228 0.2715
Sn7 0.1698 0.3174 0.3977
Sn8 0.8552 0.6772 0.9667
Sn9 0.3494 0.4772 0.7285
Sn10 0.6448 0.1772 0.5333
Sn11 0.3552 0.8228 0.4667
Sn12 0.3302 0.8174 0.1023
Co1 0.0000 0.0000 0.5000
Co2 0.5000 0.5000 0.0000
Cu1 0.9783 0.3185 0.6823
Cu2 0.4783 0.1815 0.1823
Cu3 0.5217 0.8185 0.8177
Cu4 0.0217 0.6815 0.3177

---

(6)
VASP calculation (GGA-PBE) on Hf3NbPt after structural relaxation.

The calculated formation energy is 1.0195 eV/atom. For the distance to the lowest polymorph of the same formula, the calculation gives 45.4 kJ/mol of atoms.

a b c (Å): 4.9541 4.9541 4.9541
angles (deg): 90.00 90.00 90.00
Element x y z (fractional)
Pt1 0.5000 0.5000 0.5000
Hf1 0.5000 0.0000 0.0000
Hf2 0.0000 0.5000 0.0000
Hf3 0.0000 0.0000 0.5000
Nb1 0.0000 0.0000 0.0000

---

(7)
VASP calculation (GGA-PBE) on BaSrAgSb after structural relaxation.

a b c (Å): 5.7905 5.7905 5.7905
angles (deg): 60.00 60.00 60.00
Element x y z (fractional)
Sb1 0.7500 0.7500 0.7500
Ba1 0.0000 0.0000 0.0000
Ag1 0.2500 0.2500 0.2500
Sr1 0.5000 0.5000 0.5000

---

(8)
VASP calculation (GGA-PBE) on RhWBr2 after structural relaxation.

For the distance to the lowest polymorph of the same formula, the calculation gives 90.2 kJ/mol of atoms.

a b c (Å): 3.2282 3.2281 6.5061
angles (deg): 90.00 90.00 90.00
Element x y z (fractional)
Br1 0.0000 0.0000 0.9919
Br2 0.0000 0.0000 0.5081
W1 0.5000 0.5000 0.7500
Rh1 0.5000 0.5000 0.2500

---

(9)
VASP calculation (GGA-PBE) on Tl16O15F17 after structural relaxation.

a b c (Å): 9.7050 9.7050 9.6364
angles (deg): 70.20 70.20 109.02
Element x y z (fractional)
F1 0.7558 0.2801 0.7075
F2 0.5285 0.2540 0.9885
F3 0.5247 0.7124 0.5172
F4 0.6832 0.6832 0.7748
F5 0.7124 0.5247 0.5172
F6 0.0338 0.7492 0.9742
F7 0.2558 0.0303 0.9781
F8 0.5108 0.7282 0.0287
F9 0.7282 0.5108 0.0287
F10 0.7179 0.7179 0.2128
F11 0.4497 0.4497 0.2776
F12 0.2540 0.5285 0.9885
F13 0.7492 0.0338 0.9742
F14 0.2801 0.7558 0.7075
F15 0.0303 0.2558 0.9781
F16 0.2278 0.2278 0.7297
F17 0.4143 0.4143 0.8131
Tl1 0.2386 0.4982 0.7387
Tl2 0.4982 0.2386 0.7387
Tl3 0.4725 0.4725 0.0248
Tl4 0.7843 0.7843 0.4794
Tl5 0.7539 0.0105 0.7347
Tl6 0.9806 0.9806 0.9910
Tl7 0.5254 0.0283 0.4953
Tl8 0.0105 0.7539 0.7347
Tl9 0.2419 0.9986 0.2652
Tl10 0.4899 0.7707 0.2686
Tl11 0.2640 0.7640 0.0203
Tl12 0.7707 0.4899 0.2686
Tl13 0.2145 0.2145 0.5042
Tl14 0.9986 0.2419 0.2652
Tl15 0.7640 0.2640 0.0203
Tl16 0.0283 0.5254 0.4953
O1 0.9944 0.7529 0.5054
O2 0.8108 0.2910 0.2248
O3 0.0075 0.2565 0.5025
O4 0.2910 0.8108 0.2248
O5 0.7529 0.9944 0.5054
O6 0.5296 0.2612 0.4955
O7 0.9494 0.9494 0.7849
O8 0.2612 0.5296 0.4955
O9 0.0188 0.5514 0.2605
O10 0.9782 0.4933 0.7796
O11 0.4933 0.9782 0.7796
O12 0.2356 0.2356 0.2218
O13 0.2565 0.0075 0.5025
O14 0.5514 0.0188 0.2605
O15 0.9770 0.9770 0.2149

---

(10)
VASP calculation (GGA-PBE) on NaTb2TlCl8 after structural relaxation.

a b c (Å): 6.9853 6.7037 8.3269
angles (deg): 90.00 90.00 85.79
Element x y z (fractional)
Cl1 0.6387 0.7005 0.5000
Cl2 0.3490 0.2938 0.0000
Cl3 0.6510 0.7062 0.0000
Cl4 0.8046 0.2503 0.7736
Cl5 0.8046 0.2504 0.2264
Cl6 0.3613 0.2995 0.5000
Cl7 0.1955 0.7497 0.2264
Cl8 0.1954 0.7496 0.7736
Tb1 0.5000 0.5000 0.7552
Tb2 0.5000 0.5000 0.2448
Tl1 0.0000 0.0000 0.5000
Na1 0.0000 0.0000 0.0000

---

(11)
VASP calculation (GGA-PBE) on Ho2InPb after structural relaxation.

The calculated formation energy is -0.4528 eV/atom.

a b c (Å): 4.5715 4.3331 6.1717
angles (deg): 90.00 111.74 90.00
Element x y z (fractional)
In1 0.5397 0.5000 0.0795
Ho1 0.0791 0.0000 0.1582
Ho2 0.8113 0.5000 0.6226
Pb1 0.3544 0.0000 0.7088

---

(12)
VASP calculation (GGA-PBE) on Tm3BS2 after structural relaxation.

a b c (Å): 6.6443 6.6443 12.0260
angles (deg): 100.70 100.70 109.13
Element x y z (fractional)
B1 0.1663 0.6663 0.3325
B2 0.3337 0.8337 0.6675
B3 0.9163 0.9163 0.8325
B4 0.0837 0.0837 0.1675
S1 0.9969 0.4969 0.9938
S2 0.7469 0.7469 0.4938
S3 0.6698 0.1698 0.3396
S4 0.4198 0.4198 0.8396
S5 0.5802 0.5802 0.1604
S6 0.8302 0.3302 0.6604
S7 0.5031 0.0031 0.0062
S8 0.2531 0.2531 0.5062
Tm1 0.9357 0.9109 0.3238
Tm2 0.7760 0.7760 0.0000
Tm3 0.3143 0.8391 0.1762
Tm4 0.0260 0.5260 0.5000
Tm5 0.6629 0.1381 0.8238
Tm6 0.0891 0.0643 0.6762
Tm7 0.3881 0.4129 0.3238
Tm8 0.5871 0.6119 0.6762
Tm9 0.2240 0.2240 0.0000
Tm10 0.4740 0.9740 0.5000
Tm11 0.8619 0.3371 0.1762
Tm12 0.1609 0.6857 0.8238

---

(13)
VASP calculation (GGA-PBE) on Be2NbRh2 after structural relaxation.

The calculated formation energy is -0.1553 eV/atom. For the distance to the lowest polymorph of the same formula, the calculation gives 32.9 kJ/mol of atoms.

a b c (Å): 3.8699 3.8699 5.1900
angles (deg): 68.11 68.11 90.00
Element x y z (fractional)
Nb1 0.0000 0.0000 0.0000
Rh1 0.3567 0.3567 0.2866
Rh2 0.6433 0.6433 0.7134
Be1 0.7500 0.2500 0.5000
Be2 0.2500 0.7500 0.5000

---

(14)
VASP calculation (GGA-PBE) on Hg2RhAu after structural relaxation.

The calculated formation energy is 0.1299 eV/atom.

a b c (Å): 3.1089 3.1089 7.7298
angles (deg): 90.00 90.00 90.00
Element x y z (fractional)
Rh1 0.5000 0.5000 0.0000
Au1 0.5000 0.5000 0.5000
Hg1 0.0000 0.0000 0.2325
Hg2 0.0000 0.0000 0.7675

---

(15)
VASP calculation (GGA-PBE) on ErGaCoNi after structural relaxation.

The calculated formation energy is -0.3435 eV/atom.

a b c (Å): 4.3975 4.3975 4.3975
angles (deg): 60.00 60.00 60.00
Last column: magnetic moment on the atom in μB.
Element x y z (fractional)
Ga1 0.5000 0.5000 0.5000  0.00
Ni1 0.2500 0.2500 0.2500  0.15
Er1 0.0000 0.0000 0.0000  -0.05
Co1 0.7500 0.7500 0.7500  0.46

---

(16)
VASP calculation (GGA-PBE) on PrCu8Pt3 after structural relaxation.

The calculated formation energy is -0.1772 eV/atom.

a b c (Å): 4.9400 4.9400 8.1192
angles (deg): 90.00 90.00 120.00
Element x y z (fractional)
Pt1 0.6667 0.3333 0.0656
Pt2 0.0000 0.0000 0.9441
Pt3 0.6667 0.3333 0.4139
Cu1 0.6699 0.8349 0.2381
Cu2 0.3333 0.6667 0.4990
Cu3 0.1651 0.8349 0.2381
Cu4 0.5034 0.4966 0.7657
Cu5 0.1651 0.3301 0.2381
Cu6 0.9933 0.4966 0.7657
Cu7 0.3333 0.6667 0.9994
Cu8 0.5034 0.0067 0.7657
Pr1 0.0000 0.0000 0.5669

---

(17)
VASP calculation (GGA-PBE) on Al2OsN after structural relaxation.

a b c (Å): 6.0989 6.0989 5.0844
angles (deg): 53.15 53.15 90.00
Element x y z (fractional)
Os1 0.0000 0.0000 0.0000
Os2 0.7500 0.2500 0.5000
Al1 0.3750 0.4618 0.7500
Al2 0.2118 0.6250 0.2500
Al3 0.8750 0.7882 0.7500
Al4 0.5382 0.1250 0.2500
N1 0.5000 0.5000 0.0000
N2 0.2500 0.7500 0.5000

---

(18)
VASP calculation (GGA-PBE) on La2ScGa3Au4 after structural relaxation.

The calculated formation energy is -0.7007 eV/atom.

a b c (Å): 4.4097 4.4097 11.4073
angles (deg): 90.00 90.00 90.00
Element x y z (fractional)
Au1 0.0000 0.0000 0.0000
Au2 0.5000 0.0000 0.6465
Au3 0.5000 0.5000 0.0000
Au4 0.0000 0.5000 0.3535
La1 0.5000 0.0000 0.2297
La2 0.0000 0.5000 0.7703
Ga1 0.0000 0.5000 0.1287
Ga2 0.5000 0.0000 0.8713
Ga3 0.0000 0.0000 0.5000
Sc1 0.5000 0.5000 0.5000

---

(19)
VASP calculation (GGA-PBE) on BaBe2Si after structural relaxation.

a b c (Å): 5.5642 5.5642 2.9662
angles (deg): 77.67 77.67 109.72
Element x y z (fractional)
Si1 0.5000 0.0000 0.5000
Be1 0.5000 0.5000 0.0000
Be2 0.0000 0.0000 0.0000
Ba1 0.0000 0.5000 0.5000

---

(20)
VASP calculation (GGA-PBE) on Sr2Zn4InGa3 after structural relaxation.

The calculated formation energy is -0.3300 eV/atom.

a b c (Å): 4.4323 4.4323 11.0899
angles (deg): 90.00 90.00 90.00
Element x y z (fractional)
Sr1 0.5000 0.0000 0.2396
Sr2 0.0000 0.5000 0.7604
Ga1 0.0000 0.5000 0.1255
Ga2 0.5000 0.0000 0.8745
Ga3 0.0000 0.0000 0.5000
Zn1 0.0000 0.0000 0.0000
Zn2 0.5000 0.0000 0.6458
Zn3 0.0000 0.5000 0.3542
Zn4 0.5000 0.5000 0.0000
In1 0.5000 0.5000 0.5000

---

(21)
VASP calculation (GGA-PBE) on Li2TaBe after structural relaxation.

The calculated formation energy is 0.5256 eV/atom.

a b c (Å): 4.2115 4.2115 4.2115
angles (deg): 60.00 60.00 60.00
Element x y z (fractional)
Be1 0.5000 0.5000 0.5000
Ta1 0.7500 0.7500 0.7500
Li1 0.2500 0.2500 0.2500
Li2 0.0000 0.0000 0.0000

---

(22)
VASP calculation (GGA-PBE) on SrRuW3 after structural relaxation.

The calculated formation energy is 1.6324 eV/atom. For the distance to the lowest polymorph of the same formula, the calculation gives 0.0 kJ/mol of atoms.

a b c (Å): 4.8437 4.8437 4.8437
angles (deg): 90.00 90.00 90.00
Last column: magnetic moment on the atom in μB.
Element x y z (fractional)
W1 0.5000 0.0000 0.0000  0.27
W2 0.0000 0.0000 0.5000  0.56
W3 0.0000 0.5000 0.0000  0.42
Ru1 0.0000 0.0000 0.0000  0.00
Sr1 0.5000 0.5000 0.5000  0.04

---

Number 1: final energy -3.329 eV/atom. Number 2: final energy -4.026 eV/atom. Number 3: final energy -5.271 eV/atom. Number 4: final energy -6.702 eV/atom. Number 5: final energy -4.315 eV/atom. Number 6: final energy -8.175 eV/atom. Number 7: final energy -3.348 eV/atom. Number 8: final energy -4.906 eV/atom. Number 9: final energy -4.216 eV/atom. Number 10: final energy -4.286 eV/atom. Number 11: final energy -4.353 eV/atom. Number 12: final energy -6.198 eV/atom. Number 13: final energy -6.600 eV/atom. Number 14: final energy -2.678 eV/atom. Number 15: final energy -5.463 eV/atom. Number 16: final energy -4.816 eV/atom. Number 17: final energy -6.773 eV/atom. Number 18: final energy -4.538 eV/atom. Number 19: final energy -2.627 eV/atom. Number 20: final energy -2.358 eV/atom. Number 21: final energy -4.326 eV/atom. Number 22: final energy -8.331 eV/atom.